Entry 1:
Below is an optimized crystal structure of KCa2Tl, with properties calculated at the PBE level.

density of states at the Fermi level = 5.4 states/eV per cell
energy relative to the elements = 0.16 eV/atom

a b c (Å): 5.1523 5.1523 12.8327
angles (deg): 78.42 78.42 90.00
With the nearest neighbours (Å) after each atom.
Sites, in units of the cell vectors:
K1 0.2500 0.7500 0.5000  4 Ca 3.62, 4 Tl 3.64
Ca1 0.3750 0.3517 0.7500  4 Ca 3.48-3.82, 2 Tl 3.53, 2 K 3.62
K2 0.5000 0.5000 0.0000  4 Ca 3.62, 4 Tl 3.64
Ca2 0.6483 0.1250 0.2500  4 Ca 3.48-3.82, 2 Tl 3.53, 2 K 3.62
Tl1 0.7500 0.2500 0.5000  4 Ca 3.53, 4 K 3.64
Ca3 0.8750 0.8983 0.7500  4 Ca 3.48-3.82, 2 Tl 3.53, 2 K 3.62
Tl2 0.0000 0.0000 0.0000  4 Ca 3.53, 4 K 3.64
Ca4 0.1017 0.6250 0.2500  4 Ca 3.48-3.82, 2 Tl 3.53, 2 K 3.62



Entry 2:
Below is an optimized crystal structure of KCa2Tl, with properties calculated at the PBE level.

density of states at the Fermi level = 2.9 states/eV per cell
energy relative to the elements = -0.15 eV/atom

a b c (Å): 3.9894 3.8988 11.2840
angles (deg): 70.19 90.00 90.00
With the nearest neighbours (Å) after each atom.
Sites, in units of the cell vectors:
Ca1 0.0000 0.4200 0.5768  4 Tl 3.34, 1 Ca 3.68
Tl1 0.5000 0.7500 0.7500  8 Ca 3.34
K1 0.5000 0.2500 0.2500  4 K 3.90-3.99
Ca2 0.0000 0.0800 0.9232  4 Tl 3.34, 1 Ca 3.68